No. 1
First-principles (SCAN) data for a crystal of SrCa2H relaxed with PBEsol, as listed in Alexandria.

Values from the calculation:
Space-group type: Fd-3m (227)
Final energy: -11.477 eV/atom

The structure in CIF format:
```
data_SrCa2H
_chemical_formula_sum 'Sr2 Ca4 H2'
_cell_length_a 7.2542
_cell_length_b 7.2542
_cell_length_c 7.2542
_cell_angle_alpha 60.00
_cell_angle_beta 60.00
_cell_angle_gamma 60.00
_space_group_name_H-M_alt 'P 1'
_space_group_IT_number 1
loop_
_space_group_symop_operation_xyz
'x,y,z'
loop_
_atom_site_label
_atom_site_fract_x
_atom_site_fract_y
_atom_site_fract_z
Sr1 0.1250 0.1250 0.1250
Sr2 0.8750 0.8750 0.8750
Ca1 0.0000 0.5000 0.5000
Ca2 0.5000 0.0000 0.5000
Ca3 0.5000 0.5000 0.0000
Ca4 0.5000 0.5000 0.5000
H1 0.3750 0.3750 0.3750
H2 0.6250 0.6250 0.6250
```



No. 2
First-principles (SCAN) data for a crystal of NaCa2Bi2 relaxed with PBEsol, as listed in Alexandria.

Values from the calculation:
Space-group type: P4/mbm (127)
Energy relative to the elements: -741 meV/atom

The structure in CIF format:
```
data_NaCa2Bi2
_chemical_formula_sum 'Na2 Ca4 Bi4'
_cell_length_a 9.2083
_cell_length_b 9.2083
_cell_length_c 3.7308
_cell_angle_alpha 90.00
_cell_angle_beta 90.00
_cell_angle_gamma 90.00
_space_group_name_H-M_alt 'P 1'
_space_group_IT_number 1
loop_
_space_group_symop_operation_xyz
'x,y,z'
loop_
_atom_site_label
_atom_site_fract_x
_atom_site_fract_y
_atom_site_fract_z
Na1 0.0000 0.0000 0.0000
Na2 0.5000 0.5000 0.0000
Ca1 0.1355 0.3645 0.5000
Ca2 0.3645 0.8645 0.5000
Ca3 0.6355 0.1355 0.5000
Ca4 0.8645 0.6355 0.5000
Bi1 0.1643 0.6643 0.0000
Bi2 0.3357 0.1643 0.0000
Bi3 0.6643 0.8357 0.0000
Bi4 0.8357 0.3357 0.0000
```



No. 3
First-principles (SCAN) data for a crystal of NbCuP2O8 relaxed with PBEsol, as listed in Alexandria.

Values from the calculation:
Raw formation energy: -2.2327 eV per atom
Space-group type: P2_1/m (11)

The structure in CIF format:
```
data_NbCuP2O8
_chemical_formula_sum 'Nb2 Cu2 P4 O16'
_cell_length_a 5.1172
_cell_length_b 6.0860
_cell_length_c 9.7542
_cell_angle_alpha 90.00
_cell_angle_beta 91.88
_cell_angle_gamma 90.00
_space_group_name_H-M_alt 'P 1'
_space_group_IT_number 1
loop_
_space_group_symop_operation_xyz
'x,y,z'
loop_
_atom_site_label
_atom_site_fract_x
_atom_site_fract_y
_atom_site_fract_z
Nb1 0.0689 0.2500 0.2738
Nb2 0.9311 0.7500 0.7262
Cu1 0.4042 0.2500 0.7844
Cu2 0.5958 0.7500 0.2156
P1 0.0720 0.7500 0.4036
P2 0.3560 0.7500 0.9077
P3 0.6440 0.2500 0.0923
P4 0.9280 0.2500 0.5964
O1 0.1470 0.7500 0.5602
O2 0.1896 0.5569 0.8402
O3 0.1896 0.9431 0.8402
O4 0.2044 0.5439 0.3395
O5 0.2044 0.9561 0.3395
O6 0.2218 0.2500 0.6135
O7 0.3668 0.7500 0.0604
O8 0.3677 0.2500 0.1529
O9 0.6323 0.7500 0.8471
O10 0.6332 0.2500 0.9396
O11 0.7782 0.7500 0.3865
O12 0.7956 0.0439 0.6605
O13 0.7956 0.4561 0.6605
O14 0.8104 0.0569 0.1598
O15 0.8104 0.4431 0.1598
O16 0.8530 0.2500 0.4398
```



No. 4
First-principles (SCAN) data for a crystal of ZrTlMo2 relaxed with PBEsol, as listed in Alexandria.

Values from the calculation:
Polymorph energy (0 for the lowest one): 0.487 eV per formula unit
Space-group type: C2/m (12)
Energy relative to the elements: 346 meV/atom

The structure in CIF format:
```
data_ZrTlMo2
_chemical_formula_sum 'Zr1 Tl1 Mo2'
_cell_length_a 5.5424
_cell_length_b 5.5424
_cell_length_c 2.8548
_cell_angle_alpha 101.40
_cell_angle_beta 101.40
_cell_angle_gamma 117.22
_space_group_name_H-M_alt 'P 1'
_space_group_IT_number 1
loop_
_space_group_symop_operation_xyz
'x,y,z'
loop_
_atom_site_label
_atom_site_fract_x
_atom_site_fract_y
_atom_site_fract_z
Zr1 0.0000 0.0000 0.0000
Tl1 0.5000 0.5000 0.0000
Mo1 0.0000 0.5000 0.5000
Mo2 0.5000 0.0000 0.5000
```



No. 5
First-principles (SCAN) data for a crystal of TcHI2 relaxed with PBEsol, as listed in Alexandria.

Values from the calculation:
Space-group type: Fm-3m (225)
Final energy: -26.996 eV/atom

The structure in CIF format:
```
data_TcHI2
_chemical_formula_sum 'Tc1 H1 I2'
_cell_length_a 4.6217
_cell_length_b 4.6217
_cell_length_c 4.6217
_cell_angle_alpha 60.00
_cell_angle_beta 60.00
_cell_angle_gamma 60.00
_space_group_name_H-M_alt 'P 1'
_space_group_IT_number 1
loop_
_space_group_symop_operation_xyz
'x,y,z'
loop_
_atom_site_label
_atom_site_fract_x
_atom_site_fract_y
_atom_site_fract_z
Tc1 0.0000 0.0000 0.0000
H1 0.5000 0.5000 0.5000
I1 0.2500 0.2500 0.2500
I2 0.7500 0.7500 0.7500
```



No. 6
First-principles (SCAN) data for a crystal of Co2Ru relaxed with PBEsol, as listed in Alexandria.

Values from the calculation:
Space-group type: Cm (8)
Energy relative to the elements: 228 meV/atom

The structure in CIF format:
```
data_Co2Ru
_chemical_formula_sum 'Co4 Ru2'
_cell_length_a 4.7384
_cell_length_b 4.7384
_cell_length_c 5.9402
_cell_angle_alpha 103.03
_cell_angle_beta 103.03
_cell_angle_gamma 31.45
_space_group_name_H-M_alt 'P 1'
_space_group_IT_number 1
loop_
_space_group_symop_operation_xyz
'x,y,z'
loop_
_atom_site_label
_atom_site_fract_x
_atom_site_fract_y
_atom_site_fract_z
Co1 0.0000 0.0000 0.0000
Co2 0.0569 0.0569 0.6144
Co3 0.3371 0.3371 0.6707
Co4 0.6679 0.6679 0.3427
Ru1 0.3910 0.3910 0.2847
Ru2 0.7206 0.7206 0.9429
```



No. 7
First-principles (SCAN) data for a crystal of LiFe2As relaxed with PBEsol, as listed in Alexandria.

Values from the calculation:
Space-group type: I4/mmm (139)
Energy relative to the elements: -93 meV/atom

The structure in CIF format:
```
data_LiFe2As
_chemical_formula_sum 'Li1 Fe2 As1'
_cell_length_a 4.3855
_cell_length_b 4.3855
_cell_length_c 4.3855
_cell_angle_alpha 132.33
_cell_angle_beta 132.33
_cell_angle_gamma 69.71
_space_group_name_H-M_alt 'P 1'
_space_group_IT_number 1
loop_
_space_group_symop_operation_xyz
'x,y,z'
loop_
_atom_site_label
_atom_site_fract_x
_atom_site_fract_y
_atom_site_fract_z
Li1 0.0000 0.0000 0.0000
Fe1 0.2500 0.7500 0.5000
Fe2 0.7500 0.2500 0.5000
As1 0.5000 0.5000 0.0000
```



No. 8
First-principles (SCAN) data for a crystal of Mg2IrBr relaxed with PBEsol, as listed in Alexandria.

Values from the calculation:
Raw formation energy: 0.0570 eV per atom
Space-group type: Fm-3m (225)

The structure in CIF format:
```
data_Mg2IrBr
_chemical_formula_sum 'Mg2 Ir1 Br1'
_cell_length_a 4.6785
_cell_length_b 4.6785
_cell_length_c 4.6785
_cell_angle_alpha 60.00
_cell_angle_beta 60.00
_cell_angle_gamma 60.00
_space_group_name_H-M_alt 'P 1'
_space_group_IT_number 1
loop_
_space_group_symop_operation_xyz
'x,y,z'
loop_
_atom_site_label
_atom_site_fract_x
_atom_site_fract_y
_atom_site_fract_z
Mg1 0.2500 0.2500 0.2500
Mg2 0.7500 0.7500 0.7500
Ir1 0.0000 0.0000 0.0000
Br1 0.5000 0.5000 0.5000
```



No. 9
First-principles (SCAN) data for a crystal of ReRh relaxed with PBEsol, as listed in Alexandria.

Values from the calculation:
Polymorph energy (0 for the lowest one): 3.035 eV per formula unit
Space-group type: Fm-3m (225)
Energy relative to the elements: 1304 meV/atom

The structure in CIF format:
```
data_ReRh
_chemical_formula_sum 'Re1 Rh1'
_cell_length_a 3.5705
_cell_length_b 3.5705
_cell_length_c 3.5705
_cell_angle_alpha 60.00
_cell_angle_beta 60.00
_cell_angle_gamma 60.00
_space_group_name_H-M_alt 'P 1'
_space_group_IT_number 1
loop_
_space_group_symop_operation_xyz
'x,y,z'
loop_
_atom_site_label
_atom_site_fract_x
_atom_site_fract_y
_atom_site_fract_z
Re1 0.0000 0.0000 0.0000
Rh1 0.5000 0.5000 0.5000
```



No. 10
First-principles (SCAN) data for a crystal of Sc2MnCl relaxed with PBEsol, as listed in Alexandria.

Values from the calculation:
Raw formation energy: -0.0430 eV per atom
Polymorph energy (0 for the lowest one): 1.941 eV per formula unit
Space-group type: Fm-3m (225)

The structure in CIF format:
```
data_Sc2MnCl
_chemical_formula_sum 'Sc2 Mn1 Cl1'
_cell_length_a 4.6122
_cell_length_b 4.6122
_cell_length_c 4.6122
_cell_angle_alpha 60.00
_cell_angle_beta 60.00
_cell_angle_gamma 60.00
_space_group_name_H-M_alt 'P 1'
_space_group_IT_number 1
loop_
_space_group_symop_operation_xyz
'x,y,z'
loop_
_atom_site_label
_atom_site_fract_x
_atom_site_fract_y
_atom_site_fract_z
Sc1 0.2500 0.2500 0.2500
Sc2 0.7500 0.7500 0.7500
Mn1 0.0000 0.0000 0.0000
Cl1 0.5000 0.5000 0.5000
```



No. 11
First-principles (SCAN) data for a crystal of BeFe2Co relaxed with PBEsol, as listed in Alexandria.

Values from the calculation:
Space-group type: F-43m (216)
Energy relative to the elements: -86 meV/atom

The structure in CIF format:
```
data_BeFe2Co
_chemical_formula_sum 'Be1 Fe2 Co1'
_cell_length_a 3.8208
_cell_length_b 3.8208
_cell_length_c 3.8208
_cell_angle_alpha 60.00
_cell_angle_beta 60.00
_cell_angle_gamma 60.00
_space_group_name_H-M_alt 'P 1'
_space_group_IT_number 1
loop_
_space_group_symop_operation_xyz
'x,y,z'
loop_
_atom_site_label
_atom_site_fract_x
_atom_site_fract_y
_atom_site_fract_z
Be1 0.0000 0.0000 0.0000
Fe1 0.2500 0.2500 0.2500
Fe2 0.5000 0.5000 0.5000
Co1 0.7500 0.7500 0.7500
```



No. 12
First-principles (SCAN) data for a crystal of Mg3CuRe relaxed with PBEsol, as listed in Alexandria.

Values from the calculation:
Space-group type: Pm-3m (221)
Energy relative to the elements: 1013 meV/atom

The structure in CIF format:
```
data_Mg3CuRe
_chemical_formula_sum 'Mg3 Cu1 Re1'
_cell_length_a 4.5854
_cell_length_b 4.5854
_cell_length_c 4.5854
_cell_angle_alpha 90.00
_cell_angle_beta 90.00
_cell_angle_gamma 90.00
_space_group_name_H-M_alt 'P 1'
_space_group_IT_number 1
loop_
_space_group_symop_operation_xyz
'x,y,z'
loop_
_atom_site_label
_atom_site_fract_x
_atom_site_fract_y
_atom_site_fract_z
Mg1 0.0000 0.0000 0.5000
Mg2 0.0000 0.5000 0.0000
Mg3 0.5000 0.0000 0.0000
Cu1 0.0000 0.0000 0.0000
Re1 0.5000 0.5000 0.5000
```



Question: What is the formula in the sixth record?
Answer: Co2Ru